The following is a DFT calculation (PBE) of a geometry-optimized ZrW2Se structure.

The space group is Immm (No. 71) and the conventional cell measures 3.312, 4.267 and 10.050 Å, with angles of 90.00, 90.00 and 90.00 degrees. Symmetry generates all atoms from Zr at (0.000, 0.000, 0.000), W at (0.000, 0.500, 0.252) and Se at (0.000, 0.000, 0.500).

The following is a DFT calculation (PBE) of a geometry-optimized Zr4WSe structure.

The space group is F-43m (No. 216) and the conventional cell measures 7.988, 7.988 and 7.988 Å, with angles of 90.00, 90.00 and 90.00 degrees. Symmetry generates all atoms from Zr at (0.123, 0.123, 0.377), W at (0.250, 0.250, 0.750) and Se at (0.000, 0.000, 0.000).

no.,electronic total energy (eV/atom)
1,-9.3754
2,-7.8345